[1]
SiSn2O | the Alexandria database | PBE | optimized geometry; space-group type = I-42d (122); total magnetization = 0.000 μB per formula unit; formation energy (no corrections) = -0.90 eV/f.u.; polymorph energy (0 for the lowest one) = 0.0 meV per atom
1.0
5.369 0.000 0.000
0.000 5.369 0.000
0.000 0.000 12.551
Si Sn O
4 8 4
Cartesian
0.000 0.000 0.000 Si
0.000 2.685 3.138 Si
2.685 0.000 9.413 Si
2.685 2.685 6.276 Si
1.015 1.342 7.844 Sn
1.342 3.699 10.982 Sn
1.342 4.355 4.707 Sn
1.670 1.342 1.569 Sn
3.699 4.027 1.569 Sn
4.027 1.015 4.707 Sn
4.027 1.670 10.982 Sn
4.355 4.027 7.844 Sn
0.000 0.000 6.276 O
0.000 2.685 9.413 O
2.685 0.000 3.138 O
2.685 2.685 0.000 O

---

[2]
La2Pr5Nd5 | the Alexandria database | PBE | optimized geometry; space-group type = C2/m (12); total magnetization = 0.000 μB per formula unit; DFT formation energy = 0.01 eV per atom
1.0
7.874 -2.622 0.000
7.874 2.622 0.000
-5.253 0.000 10.495
La Pr Nd
2 5 5
Cartesian
-0.007 0.000 2.623 La
10.501 0.000 7.873 La
-2.626 0.000 5.248 Pr
-2.629 0.000 10.495 Pr
-0.016 0.000 7.860 Pr
10.510 0.000 2.636 Pr
13.124 0.000 0.000 Pr
2.623 0.000 5.251 Nd
5.240 0.000 2.626 Nd
7.874 0.000 0.000 Nd
5.255 0.000 7.869 Nd
7.872 0.000 5.245 Nd